*i*
A geometry-optimized Cs2Tl2I5 structure, computed with PBE-GGA.

Computed properties:
Symmetry ... No. 12

Structure (POSCAR):
```
Cs2Tl2I5
1.0
-0.451 -1.147 6.594
8.905 -0.444 -2.880
-3.250 8.610 1.275
Tl I Cs
2 5 2
Direct
0.858 0.716 0.136
0.142 0.284 0.864
0.351 0.703 0.110
0.143 0.285 0.525
0.000 0.000 0.000
0.857 0.715 0.475
0.649 0.297 0.890
0.390 0.780 0.705
0.610 0.220 0.295
```

---

*ii*
A geometry-optimized Cs2Tl2I5 structure, computed with PBE-GGA.

Computed properties:
Symmetry ... No. 46

Structure (POSCAR):
```
Cs2Tl2I5
1.0
-2.719 -5.451 -6.799
7.735 -3.789 -0.055
-6.646 -3.950 11.953
Tl I Cs
4 10 4
Direct
0.500 0.481 0.000
0.810 0.789 0.500
0.000 0.981 0.000
0.190 0.289 0.500
0.844 0.176 0.500
0.762 0.243 0.021
0.156 0.676 0.500
0.582 0.602 0.252
0.759 0.743 0.021
0.418 0.350 0.748
0.241 0.722 0.979
0.830 0.850 0.748
0.170 0.102 0.252
0.238 0.222 0.979
0.579 0.091 0.210
0.421 0.881 0.790
0.131 0.591 0.210
0.869 0.381 0.790
```

---

Stability, highest: *ii*

---

*i*
A geometry-optimized CsTl6I8 structure, computed with PBE-GGA.

Computed properties:
Symmetry ... No. 148

Structure (POSCAR):
```
CsTl6I8
1.0
-6.411 6.285 -2.034
-3.686 -0.586 8.415
5.286 6.856 3.130
Tl I Cs
6 8 1
Direct
0.840 0.601 0.416
0.416 0.840 0.601
0.160 0.399 0.584
0.584 0.160 0.399
0.399 0.584 0.160
0.601 0.416 0.840
0.356 0.150 0.763
0.261 0.261 0.261
0.150 0.763 0.356
0.644 0.850 0.237
0.237 0.644 0.850
0.850 0.237 0.644
0.763 0.356 0.150
0.739 0.739 0.739
0.000 0.000 0.000
```

---

*ii*
A geometry-optimized CsTl6I8 structure, computed with PBE-GGA.

Computed properties:
Symmetry ... No. 147

Structure (POSCAR):
```
CsTl6I8
1.0
5.178 0.000 0.000
0.000 10.784 -6.226
0.000 0.000 12.452
I Tl Cs
8 6 1
Direct
0.246 0.667 0.333
0.246 0.031 0.711
0.754 0.321 0.031
0.246 0.679 0.969
0.754 0.333 0.667
0.754 0.969 0.289
0.246 0.289 0.321
0.754 0.711 0.679
0.746 0.476 0.342
0.254 0.342 0.866
0.254 0.524 0.658
0.746 0.866 0.524
0.746 0.658 0.134
0.254 0.134 0.476
0.500 0.000 0.000
```

---

Stability, highest: *ii*

---

*i*
A geometry-optimized CsTl2I3 structure, computed with PBE-GGA.

Computed properties:
Symmetry ... No. 63

Structure (POSCAR):
```
CsTl2I3
1.0
-4.372 1.883 3.117
-3.038 -1.494 -8.552
-2.744 -11.236 2.938
Tl I Cs
4 6 2
Direct
0.000 0.000 0.500
0.000 0.000 0.000
0.509 0.018 0.750
0.491 0.982 0.250
0.112 0.223 0.750
0.627 0.254 0.450
0.888 0.777 0.250
0.373 0.746 0.550
0.627 0.254 0.050
0.373 0.746 0.950
0.233 0.466 0.250
0.767 0.534 0.750
```

---

*ii*
A geometry-optimized CsTl2I3 structure, computed with PBE-GGA.

Computed properties:
Symmetry ... No. 63

Structure (POSCAR):
```
CsTl2I3
1.0
7.337 0.000 0.000
0.000 9.928 0.909
0.000 -1.640 9.834
I Tl Cs
6 4 2
Direct
0.250 0.762 0.561
0.750 0.561 0.762
0.750 0.134 0.866
0.750 0.238 0.439
0.250 0.866 0.134
0.250 0.439 0.238
0.500 0.836 0.836
0.000 0.164 0.164
0.000 0.836 0.836
0.500 0.164 0.164
0.750 0.623 0.377
0.250 0.377 0.623
```

---

Stability, highest: *i*

---

*i*
A geometry-optimized CsUI4 structure, computed with PBE-GGA.

Computed properties:
Symmetry ... No. 82

Structure (POSCAR):
```
CsUI4
1.0
9.766 0.000 0.000
0.000 9.766 0.000
-4.883 -4.883 3.892
I U Cs
4 1 1
Direct
0.501 0.859 0.416
0.915 0.557 0.416
0.443 0.499 0.584
0.141 0.085 0.584
0.500 0.500 0.000
0.750 0.250 0.500
```

---

*ii*
A geometry-optimized CsUI4 structure, computed with PBE-GGA.

Computed properties:
Symmetry ... No. 15

Structure (POSCAR):
```
CsUI4
1.0
-1.880 -4.577 -7.924
6.114 -6.535 7.218
-8.459 2.948 3.364
I Cs U
8 2 2
Direct
0.104 0.690 0.952
0.652 0.738 0.048
0.348 0.262 0.952
0.624 0.137 0.288
0.896 0.310 0.048
0.164 0.151 0.288
0.836 0.849 0.712
0.376 0.863 0.712
0.620 0.370 0.741
0.380 0.630 0.259
0.239 0.989 0.978
0.761 0.011 0.022
```

---

Stability, highest: *ii*

---

*i*
A geometry-optimized CsWI2 structure, computed with PBE-GGA.

Computed properties:
Symmetry ... No. 122

Structure (POSCAR):
```
CsWI2
1.0
8.777 0.000 0.000
0.000 8.777 0.000
4.388 4.388 4.112
I Cs W
4 2 2
Direct
0.002 0.625 0.250
0.375 0.252 0.750
0.875 0.998 0.750
0.748 0.125 0.250
0.250 0.750 0.500
0.500 0.500 0.000
0.750 0.250 0.500
0.000 0.000 0.000
```

---

*ii*
A geometry-optimized CsWI2 structure, computed with PBE-GGA.

Computed properties:
Symmetry ... No. 225

Structure (POSCAR):
```
CsWI2
1.0
-2.434 -4.916 -1.026
-4.478 -1.564 2.940
-5.016 -0.175 -2.438
W I Cs
1 2 1
Direct
0.500 0.500 0.500
0.750 0.750 0.750
0.250 0.250 0.250
0.000 0.000 0.000
```

---

Stability, highest: *i*

---

*i*
A geometry-optimized CsY3I structure, computed with PBE-GGA.

Computed properties:
Symmetry ... No. 221

Structure (POSCAR):
```
CsY3I
1.0
-2.545 -3.206 -4.095
3.352 -4.497 1.438
-3.977 -1.738 3.832
Y Cs I
3 1 1
Direct
0.500 0.000 0.000
0.000 0.000 0.500
0.000 0.500 0.000
0.000 0.000 0.000
0.500 0.500 0.500
```

---

*ii*
A geometry-optimized CsY3I structure, computed with PBE-GGA.

Computed properties:
Symmetry ... No. 221

Structure (POSCAR):
```
CsY3I
1.0
-4.296 -3.290 2.409
0.058 -3.549 -4.742
4.077 -3.416 2.607
Y I Cs
3 1 1
Direct
0.000 0.500 0.000
0.000 0.000 0.500
0.500 0.000 0.000
0.000 0.000 0.000
0.500 0.500 0.500
```

---

Stability, highest: *ii*